1.
Crystalline LiZn6Ag3 at its relaxed geometry. Source: Alexandria via LeMat-Bulk, functional GGA-PBE.

```
LiZn6Ag3
1.0
4.536 0.000 0.000
0.000 7.037 -2.236
0.000 -0.033 9.800
Li Zn Ag
2 12 6
direct
0.750 0.596 0.564 Li
0.250 0.404 0.436 Li
0.750 0.598 0.068 Zn
0.250 0.402 0.932 Zn
0.750 0.996 0.173 Zn
0.250 0.004 0.827 Zn
0.750 0.005 0.669 Zn
0.250 0.995 0.331 Zn
0.750 0.200 0.461 Zn
0.250 0.800 0.539 Zn
0.750 0.392 0.272 Zn
0.250 0.608 0.728 Zn
0.750 0.804 0.862 Zn
0.250 0.196 0.138 Zn
0.750 0.799 0.376 Ag
0.250 0.201 0.624 Ag
0.750 0.416 0.766 Ag
0.250 0.584 0.234 Ag
0.750 0.196 0.971 Ag
0.250 0.804 0.029 Ag
```

**Energy relative to the elements**: -0.0723 eV/atom

2.
Crystalline NaAl3C at its relaxed geometry. Source: Alexandria via LeMat-Bulk, functional GGA-PBE.

```
NaAl3C
1.0
5.147 0.000 0.000
0.000 5.147 0.000
0.000 0.000 5.147
Na C Al
1 1 3
direct
0.000 0.000 0.000 Na
0.500 0.500 0.500 C
0.000 0.500 0.000 Al
0.000 0.000 0.500 Al
0.500 0.000 0.000 Al
```

**Energy relative to the elements**: 2.3433 eV/atom

3.
Crystalline Tb8CeEr5 at its relaxed geometry. Source: Alexandria via LeMat-Bulk, functional GGA-PBE.

```
Tb8CeEr5
1.0
8.039 0.000 -2.432
-4.168 6.655 -2.981
0.297 0.000 8.394
Tb Ce Er
8 1 5
direct
0.167 0.736 0.074 Tb
0.926 0.094 0.662 Tb
0.719 0.251 0.325 Tb
0.675 0.394 0.926 Tb
0.532 0.606 0.281 Tb
0.569 0.906 0.833 Tb
0.338 0.264 0.431 Tb
0.074 0.749 0.468 Tb
0.250 0.500 0.750 Ce
0.039 0.320 0.135 Er
0.865 0.904 0.185 Er
0.815 0.680 0.719 Er
0.500 0.000 0.500 Er
0.281 0.096 0.961 Er
```

**Energy relative to the elements**: 0.2686 eV/atom

4.
Crystalline YCdNi at its relaxed geometry. Source: Alexandria via LeMat-Bulk, functional GGA-PBE.

```
YCdNi
1.0
3.887 0.000 0.000
0.000 7.468 0.000
0.000 0.000 12.684
Y Cd Ni
6 6 6
direct
0.000 0.231 0.954 Y
0.000 0.769 0.046 Y
0.000 0.231 0.546 Y
0.000 0.769 0.454 Y
0.000 0.153 0.250 Y
0.000 0.847 0.750 Y
0.500 0.431 0.121 Cd
0.500 0.569 0.879 Cd
0.500 0.431 0.379 Cd
0.500 0.569 0.621 Cd
0.500 0.807 0.250 Cd
0.500 0.193 0.750 Cd
0.500 0.057 0.089 Ni
0.500 0.943 0.911 Ni
0.500 0.057 0.411 Ni
0.500 0.943 0.589 Ni
0.000 0.558 0.250 Ni
0.000 0.442 0.750 Ni
```

**Energy relative to the elements**: -0.3752 eV/atom

5.
Crystalline CaDy2I8 at its relaxed geometry. Source: Alexandria via LeMat-Bulk, functional GGA-PBE.

```
CaDy2I8
1.0
-3.584 -5.358 4.222
7.094 -1.375 6.105
-1.452 5.491 7.565
Ca Dy I
1 2 8
direct
0.000 0.000 0.000 Ca
0.645 0.815 0.815 Dy
0.355 0.185 0.185 Dy
0.220 0.286 0.890 I
0.780 0.110 0.714 I
0.265 0.821 0.821 I
0.735 0.179 0.179 I
0.220 0.890 0.286 I
0.780 0.714 0.110 I
0.785 0.637 0.637 I
0.215 0.363 0.363 I
```

**ΔE_f (raw)**: -14.49 eV/f.u.

6.
Crystalline TeRhO4 at its relaxed geometry. Source: Alexandria via LeMat-Bulk, functional GGA-PBE.

```
TeRhO4
1.0
4.795 0.000 0.000
0.000 5.774 0.087
0.000 -2.214 5.284
Te Rh O
2 2 8
direct
0.500 0.500 0.000 Te
0.000 0.000 0.000 Te
0.000 0.500 0.500 Rh
0.500 0.000 0.500 Rh
0.300 0.846 0.163 O
0.200 0.346 0.163 O
0.731 0.677 0.337 O
0.231 0.823 0.663 O
0.769 0.177 0.337 O
0.269 0.323 0.663 O
0.800 0.654 0.837 O
0.700 0.154 0.837 O
```

**ΔE_f (raw)**: -4.69 eV/f.u.

7.
Crystalline MgIO3 at its relaxed geometry. Source: Alexandria via LeMat-Bulk, functional GGA-PBE.

```
MgIO3
1.0
-2.798 -0.574 3.063
3.075 -1.175 2.588
0.505 3.978 1.207
I Mg O
1 1 3
direct
0.000 0.000 0.000 I
0.500 0.500 0.500 Mg
0.000 0.500 0.000 O
0.000 0.000 0.500 O
0.500 0.000 0.000 O
```

**ΔE_f (raw)**: -1.48 eV/f.u.

8.
Crystalline Ac3Th at its relaxed geometry. Source: Alexandria via LeMat-Bulk, functional GGA-PBE.

```
Ac3Th
1.0
5.475 0.000 0.000
0.000 5.475 0.000
0.000 0.000 5.475
Ac Th
3 1
direct
0.000 0.500 0.500 Ac
0.500 0.000 0.500 Ac
0.500 0.500 0.000 Ac
0.000 0.000 0.000 Th
```

**Energy relative to the elements**: 0.1369 eV/atom

9.
Crystalline Cs4Tl4Sb at its relaxed geometry. Source: Alexandria via LeMat-Bulk, functional GGA-PBE.

```
Cs4Tl4Sb
1.0
6.972 0.000 0.000
-3.486 9.879 3.486
0.000 0.000 6.972
Cs Tl Sb
4 4 1
direct
0.079 0.693 0.386 Cs
0.614 0.693 0.921 Cs
0.386 0.307 0.614 Cs
0.921 0.307 0.079 Cs
0.345 0.104 0.241 Tl
0.759 0.104 0.655 Tl
0.241 0.896 0.759 Tl
0.655 0.896 0.345 Tl
0.000 0.000 0.000 Sb
```

**ΔE_f (raw)**: -0.85 eV/f.u.

10.
Crystalline LuSc2Ga at its relaxed geometry. Source: Alexandria via LeMat-Bulk, functional GGA-PBE.

```
LuSc2Ga
1.0
4.498 0.000 0.000
0.000 4.448 0.000
0.000 0.000 4.448
Sc Lu Ga
2 1 1
direct
0.000 0.000 0.500 Sc
0.000 0.500 0.000 Sc
0.500 0.500 0.500 Lu
0.500 0.000 0.000 Ga
```

**Energy relative to the elements**: -0.2799 eV/atom

11.
Crystalline TbPmCo at its relaxed geometry. Source: Alexandria via LeMat-Bulk, functional GGA-PBE.

```
TbPmCo
1.0
-1.954 -0.246 -2.791
-0.548 -3.303 0.675
-3.940 3.350 4.553
Tb Co Pm
1 1 1
direct
0.041 0.041 0.082 Tb
0.663 0.663 0.327 Co
0.295 0.295 0.591 Pm
```

**Energy relative to the elements**: -0.0444 eV/atom

12.
Crystalline Li8NdAu6 at its relaxed geometry. Source: Alexandria via LeMat-Bulk, functional GGA-PBE.

```
Li8NdAu6
1.0
-1.188 3.304 7.479
-1.372 -4.899 6.510
4.199 -0.751 5.563
Li Nd Au
8 1 6
direct
0.453 0.218 0.385 Li
0.782 0.057 0.615 Li
0.057 0.547 0.615 Li
0.633 0.633 0.100 Li
0.367 0.367 0.900 Li
0.943 0.453 0.385 Li
0.218 0.943 0.385 Li
0.547 0.782 0.615 Li
0.000 0.000 0.000 Nd
0.401 0.019 0.875 Au
0.981 0.294 0.125 Au
0.294 0.599 0.125 Au
0.706 0.401 0.875 Au
0.019 0.706 0.875 Au
0.599 0.981 0.125 Au
```

**Energy relative to the elements**: -0.4456 eV/atom

13.
Crystalline Pm3Sm2TmS6 at its relaxed geometry. Source: Alexandria via LeMat-Bulk, functional GGA-PBE.

```
Pm3Sm2TmS6
1.0
6.918 -0.011 -0.001
-3.467 5.987 -0.001
-1.152 -1.995 6.532
Pm Sm Tm S
3 2 1 6
direct
0.171 0.829 0.500 Pm
0.829 0.171 0.500 Pm
0.500 0.500 0.500 Pm
0.333 0.667 0.000 Sm
0.667 0.333 0.000 Sm
0.000 0.000 0.000 Tm
0.920 0.596 0.759 S
0.758 0.758 0.245 S
0.080 0.404 0.241 S
0.596 0.920 0.759 S
0.242 0.242 0.755 S
0.404 0.080 0.241 S
```

**ΔE_f (raw)**: -24.20 eV/f.u.

14.
Crystalline Dy4GeSe3 at its relaxed geometry. Source: Alexandria via LeMat-Bulk, functional GGA-PBE.

```
Dy4GeSe3
1.0
5.790 0.000 0.000
0.000 5.790 0.000
0.000 0.000 5.790
Dy Ge Se
4 1 3
direct
0.500 0.000 0.000 Dy
0.000 0.500 0.000 Dy
0.000 0.000 0.500 Dy
0.500 0.500 0.500 Dy
0.000 0.000 0.000 Ge
0.000 0.500 0.500 Se
0.500 0.000 0.500 Se
0.500 0.500 0.000 Se
```

**ΔE_f (raw)**: -13.00 eV/f.u.

15.
Crystalline CeSm2Bi at its relaxed geometry. Source: Alexandria via LeMat-Bulk, functional GGA-PBE.

```
CeSm2Bi
1.0
5.542 0.000 0.000
2.771 4.800 0.000
2.771 1.600 4.525
Ce Bi Sm
1 1 2
direct
0.500 0.500 0.500 Ce
0.000 0.000 0.000 Bi
0.750 0.750 0.750 Sm
0.250 0.250 0.250 Sm
```

**Energy relative to the elements**: -0.1497 eV/atom

16.
Crystalline Mg6AlBO8 at its relaxed geometry. Source: Alexandria via LeMat-Bulk, functional GGA-PBE.

```
Mg6AlBO8
1.0
-2.718 -0.162 3.188
0.860 -4.069 0.526
6.411 2.075 5.572
Mg Al B O
6 1 1 8
direct
0.500 0.500 0.000 Mg
0.500 0.500 0.500 Mg
0.000 0.500 0.259 Mg
0.000 0.500 0.741 Mg
0.500 0.000 0.259 Mg
0.500 0.000 0.741 Mg
0.000 0.000 0.000 Al
0.000 0.000 0.500 B
0.000 0.000 0.208 O
0.000 0.000 0.792 O
0.500 0.500 0.250 O
0.500 0.500 0.750 O
0.000 0.500 0.000 O
0.000 0.500 0.500 O
0.500 0.000 0.000 O
0.500 0.000 0.500 O
```

**ΔE_f (raw)**: -35.47 eV/f.u.

17.
Crystalline Al2V2Pb at its relaxed geometry. Source: Alexandria via LeMat-Bulk, functional GGA-PBE.

```
Al2V2Pb
1.0
6.966 0.000 0.000
0.000 6.966 0.000
0.000 0.000 3.608
Pb Al V
2 4 4
direct
0.000 0.000 0.000 Pb
0.500 0.500 0.000 Pb
0.162 0.662 0.500 Al
0.662 0.838 0.500 Al
0.838 0.338 0.500 Al
0.338 0.162 0.500 Al
0.377 0.877 0.000 V
0.877 0.623 0.000 V
0.623 0.123 0.000 V
0.123 0.377 0.000 V
```

**Energy relative to the elements**: 0.1738 eV/atom

18.
Crystalline Zn3IO at its relaxed geometry. Source: Alexandria via LeMat-Bulk, functional GGA-PBE.

```
Zn3IO
1.0
5.558 0.000 0.000
0.000 5.558 0.000
0.000 0.000 5.558
I Zn O
1 3 1
direct
0.000 0.000 0.000 I
0.000 0.500 0.000 Zn
0.000 0.000 0.500 Zn
0.500 0.000 0.000 Zn
0.500 0.500 0.500 O
```

**ΔE_f (raw)**: 5.61 eV/f.u.

19.
Crystalline HfScAs2 at its relaxed geometry. Source: Alexandria via LeMat-Bulk, functional GGA-PBE.

```
HfScAs2
1.0
3.800 0.000 0.000
1.900 3.291 0.000
1.900 1.097 6.582
Hf Sc As
1 1 2
direct
0.670 0.670 0.990 Hf
0.496 0.496 0.512 Sc
0.081 0.081 0.756 As
0.252 0.252 0.243 As
```

**Energy relative to the elements**: -1.1066 eV/atom

DFT total energy, record by record: -1.88; -2.01; -4.43; -4.76; -3.46; -5.84; -3.90; -4.80; -1.98; -5.33; -5.54; -3.10; -6.43; -5.81; -4.96; -5.95; -5.71; -0.94; -7.50 eV/atom
Magnetization, record by record: 0.000; 1.307; 1.355; 0.000; 0.000; 0.000; 0.000; 0.000; 0.000; 0.798; 0.676; 0.000; 0.000; 0.000; 1.206; 0.278; 0.000; 0.000; 0.000 Bohr magnetons per cell